[1]
Material: SmGdTlOs
Method: DFT, PBE
State: relaxed

Output
- Energy of formation from the pure elements: -0.4 eV/f.u.
- E_tot: -8.191 eV/atom

Cell and atoms, written as POSCAR:
```
SmGdTlOs
1.0
0.000 3.636 3.636
3.636 0.000 3.636
3.636 3.636 0.000
Sm Gd Tl Os
1 1 1 1
Cartesian
0.000 0.000 0.000
3.636 3.636 3.636
5.454 5.454 5.454
1.818 1.818 1.818
```

=====

[2]
Material: GdSn2Os
Method: DFT, PBE
State: relaxed

Output
- Energy of formation from the pure elements: -0.8 eV/f.u.
- E_tot: -8.531 eV/atom

Cell and atoms, written as POSCAR:
```
GdSn2Os
1.0
2.259 1.304 5.118
-2.259 1.304 5.118
0.000 -2.609 5.118
Gd Sn Os
1 2 1
Cartesian
0.000 0.000 0.000
0.000 0.000 3.455
0.000 0.000 11.901
0.000 0.000 7.678
```